This record from the Open Quantum Materials Database describes a relaxed TmH9C4N2O8 crystal. The functional is PBE-GGA. Values from VASP.

Properties
final energy = -6.339 eV/atom
total magnetic moment = 0.01 Bohr magnetons per cell

```
&SYSTEM
  ibrav = 0, nat = 96, ntyp = 5
/
ATOMIC_SPECIES
C 12.01 C.upf
O 16.00 O.upf
N 14.01 N.upf
H 1.01 H.upf
Tm 168.93 Tm.upf
ATOMIC_POSITIONS angstrom
C 8.963 3.243 0.489
C 15.016 1.981 2.114
C 16.708 5.875 6.393
C 2.559 4.417 5.821
C 4.169 0.383 0.406
C 9.654 5.875 2.685
C 12.956 6.015 0.406
C 4.619 0.383 4.113
C 13.406 6.015 4.113
C 11.346 1.981 5.821
C 0.866 0.523 2.685
C 6.229 4.417 2.114
C 17.399 3.243 4.196
C 7.921 0.523 6.393
C 0.176 3.156 0.489
C 8.612 3.156 4.196
O 0.125 0.117 6.839
O 10.053 3.742 0.075
O 10.495 5.266 3.427
O 6.736 5.355 1.448
O 14.634 5.789 3.877
O 15.867 5.266 7.134
O 5.976 3.263 1.623
O 12.773 5.460 5.053
O 13.589 5.460 1.345
O 11.728 5.789 0.170
O 15.524 1.044 1.448
O 4.801 0.938 1.345
O 16.309 3.742 3.782
O 1.265 2.656 0.075
O 8.913 6.282 6.839
O 2.051 5.355 5.155
O 5.847 0.610 3.877
O 11.599 3.136 5.331
O 0.111 4.039 1.393
O 8.899 2.359 1.393
O 2.941 0.610 0.170
O 7.080 1.133 7.134
O 2.811 3.263 5.331
O 7.522 2.656 3.782
O 17.449 6.282 3.132
O 10.839 1.044 5.155
O 8.676 4.039 5.100
O 17.463 2.359 5.100
O 14.763 3.136 1.623
O 3.986 0.938 5.053
O 8.662 0.117 3.132
O 1.708 1.133 3.427
N 11.920 3.390 2.013
N 2.904 4.392 2.351
N 3.133 3.008 2.013
N 5.883 4.392 6.058
N 11.692 2.006 2.351
N 5.655 3.008 5.721
N 14.671 2.006 6.058
N 14.442 3.390 5.721
H 6.184 2.800 4.834
H 4.643 2.824 5.575
H 9.544 2.784 3.743
H 2.786 4.433 3.372
H 12.867 0.317 3.451
H 16.818 2.784 0.036
H 14.769 1.794 3.175
H 6.819 4.601 5.673
H 6.053 2.312 6.404
H 16.538 5.834 5.302
H 7.750 0.565 5.302
H 2.806 4.604 6.882
H 10.756 1.797 1.966
H 1.968 4.601 1.966
H 5.981 4.604 3.175
H 12.931 3.575 1.867
H 11.593 1.794 6.882
H 0.756 3.614 3.743
H 13.431 3.575 5.575
H 4.144 2.824 1.867
H 11.574 1.966 3.372
H 8.031 3.614 0.036
H 2.734 2.312 2.697
H 9.824 5.834 1.595
H 4.708 6.081 7.159
H 2.603 2.800 1.127
H 13.495 0.317 7.159
H 4.080 6.081 3.451
H 15.606 1.797 5.673
H 14.840 4.086 6.404
H 6.001 4.433 7.080
H 11.522 4.086 2.697
H 14.972 3.599 4.834
H 11.390 3.599 1.127
H 14.788 1.966 7.080
H 1.037 0.565 1.595
Tm 15.768 5.206 2.027
Tm 6.980 1.193 2.027
Tm 1.807 1.193 5.734
Tm 10.594 5.206 5.734
CELL_PARAMETERS angstrom
17.575 0.000 0.000
0.000 6.398 0.000
0.000 0.000 7.415
```

This record from the Open Quantum Materials Database describes a relaxed TmH9C5N2O8 crystal. The functional is PBE-GGA. Values from VASP.

Properties
final energy = -6.505 eV/atom
total magnetic moment = 0.01 Bohr magnetons per cell

```
&SYSTEM
  ibrav = 0, nat = 50, ntyp = 5
/
ATOMIC_SPECIES
C 12.01 C.upf
H 1.01 H.upf
O 16.00 O.upf
Tm 168.93 Tm.upf
N 14.01 N.upf
ATOMIC_POSITIONS angstrom
C -2.975 6.750 7.396
C -1.360 3.720 1.506
C -1.028 4.766 5.518
C 2.899 4.697 4.629
C 5.318 2.595 2.219
C -0.237 5.837 -1.503
C 2.566 3.650 0.617
C 4.393 4.625 -2.023
C -3.659 2.863 4.677
C 0.877 1.543 3.754
H 3.967 4.678 4.387
H -3.011 2.792 3.780
H -0.194 4.766 -1.227
H 1.495 3.854 5.857
H 5.225 6.405 5.280
H 4.659 2.916 3.052
H 3.644 3.631 0.373
H -2.106 4.785 5.762
H 1.132 5.595 4.118
H 0.322 4.884 1.485
H 3.209 3.488 6.215
H -2.429 3.739 1.748
H 0.834 2.614 3.478
H 0.127 2.499 0.809
H 2.536 5.907 3.055
H -3.797 4.720 0.158
H -1.547 1.876 0.706
H -1.122 5.562 2.295
O 5.993 3.685 4.968
O -7.959 3.545 1.509
O -4.362 2.437 1.757
O 2.073 2.645 1.208
O 6.491 3.066 2.181
O -5.796 4.377 0.304
O -7.307 4.116 4.345
O -0.449 3.641 5.475
O 7.247 6.187 5.278
O 9.490 5.045 4.581
O 5.577 5.607 2.982
O -4.133 5.104 2.563
O -0.449 5.871 5.299
O -4.865 3.203 4.506
O 1.901 4.676 0.287
O 8.852 4.127 1.835
Tm 7.558 4.614 3.573
Tm -6.020 3.802 2.562
N -0.886 2.629 0.947
N 2.498 3.978 5.654
N 2.120 5.436 3.871
N -0.655 4.790 1.798
CELL_PARAMETERS angstrom
8.737 3.015 -2.825
-8.995 3.328 1.192
1.796 2.073 7.768
```

This record from the Open Quantum Materials Database describes a relaxed TmH9C5N2O8 crystal. The functional is PBE-GGA. Values from VASP.

Properties
final energy = -6.495 eV/atom
total magnetic moment = 0.00 Bohr magnetons per cell

```
&SYSTEM
  ibrav = 0, nat = 25, ntyp = 5
/
ATOMIC_SPECIES
C 12.01 C.upf
O 16.00 O.upf
H 1.01 H.upf
Tm 168.93 Tm.upf
N 14.01 N.upf
ATOMIC_POSITIONS angstrom
C -0.572 1.423 9.445
C 0.565 1.547 0.930
C -0.334 1.520 5.144
C 0.468 -2.386 7.923
C 1.935 5.102 2.771
O 0.385 2.567 5.142
O -1.918 3.550 6.391
O -1.916 3.615 3.646
O -1.926 -0.177 3.478
O 0.131 0.347 5.303
O -0.089 -1.536 7.153
O 1.038 4.405 3.348
O -2.642 -0.167 6.129
H 1.489 3.058 7.267
H 0.218 3.033 2.299
H 2.009 1.924 4.080
H -0.852 0.003 7.994
H -1.419 1.634 5.001
H 1.524 0.674 6.763
H 1.619 -0.416 3.519
H -1.138 1.943 10.235
H 0.127 1.132 0.008
Tm -1.161 -1.628 5.176
N -1.292 0.635 8.679
N -0.152 2.485 1.507
CELL_PARAMETERS angstrom
-4.311 -1.297 4.761
2.586 -2.022 5.671
0.698 6.396 -0.190
```

This record from the Open Quantum Materials Database describes a relaxed ZnH26C22N4O8 crystal. The functional is PBE-GGA. Values from VASP.

Properties
final energy = -6.330 eV/atom

```
&SYSTEM
  ibrav = 0, nat = 61, ntyp = 5
/
ATOMIC_SPECIES
C 12.01 C.upf
H 1.01 H.upf
O 16.00 O.upf
N 14.01 N.upf
Zn 65.41 Zn.upf
ATOMIC_POSITIONS angstrom
C -2.719 0.216 11.108
C 0.146 -4.377 5.355
C -7.886 2.050 18.333
C -10.715 4.480 17.299
C -7.021 -1.551 13.445
C -9.506 4.988 16.814
C -6.119 2.317 12.641
C -5.448 2.618 13.964
C -2.071 0.841 7.226
C -11.486 5.287 18.302
C -0.835 -3.698 6.263
C -6.676 1.032 9.161
C -2.613 -2.484 8.060
C -0.385 -3.199 7.489
C -9.244 3.080 15.365
C -1.259 -2.591 8.381
C -11.260 4.818 19.753
C -8.770 4.296 15.860
C 0.673 -3.452 4.239
C -3.890 -0.600 11.609
C -6.995 1.447 17.444
C -1.345 0.139 6.265
H -11.189 6.343 18.221
H -5.421 0.615 14.319
H -4.337 0.977 5.654
H -7.366 1.101 16.478
H -1.685 -0.838 5.921
H -7.824 4.681 15.488
H -5.410 -0.479 8.372
H -2.683 -2.056 12.389
H -6.467 4.293 12.243
H -6.700 1.388 12.697
H -4.059 1.423 10.167
H -8.413 -0.922 17.374
H -0.912 -2.192 9.330
H -5.318 2.166 11.904
H -2.992 0.404 7.616
H -5.104 -0.285 16.385
H -3.340 -2.416 10.922
H 1.000 -4.736 5.949
H -4.738 -0.537 10.916
H -9.024 1.860 13.795
H -3.491 2.859 8.496
H -7.763 3.470 12.840
H -4.391 -2.207 8.936
H -8.931 2.187 18.058
H -8.289 -0.041 14.232
H -4.205 -0.155 12.563
O -8.490 2.456 14.410
O -3.431 -1.899 8.987
O -6.929 -2.620 12.736
O -0.427 -1.173 2.794
O -5.671 1.639 9.616
O -6.013 -0.938 13.887
O -7.882 1.426 9.372
O -10.623 2.258 20.991
N -6.981 3.401 12.173
N -3.556 -2.004 11.842
N -3.068 1.331 10.462
N -5.050 1.532 14.632
Zn -7.658 3.252 10.243
CELL_PARAMETERS angstrom
-4.810 4.978 11.513
-9.078 2.391 9.610
2.700 -6.368 2.601
```